Computed, not measured: crystalline BaY2Ta at its relaxed geometry at the GGA-PBE level of DFT.

Results
SG: F-43m
DFT formation energy: 3.22 eV per formula unit
DOS(E_F): 1.336 states/eV/atom
Magnetization: 0.449 μB/atom
E: -23.48 eV for the cell shown

abc: 5.570 5.570 5.570
angles: 60.00 60.00 60.00
Positions (direct):
Ba  0.000  0.000  0.000
Y  0.500  0.500  0.500
Y  0.750  0.750  0.750
Ta  0.250  0.250  0.250